Arrangement one

GaTc2Rh2 | GGA-PBE | optimized geometry

Cell lengths 7.5450, 7.5450, 2.7587 Å; angles 90.00, 90.00, 90.00 degrees
Space group P4/mbm (No. 127)
Symmetry-distinct sites (fractional):
Ga: 0.0000 0.0000 0.0000
Tc: 0.1216 0.3784 0.0000
Rh: 0.1695 0.6695 0.5000

Its crystal system is tetragonal. The density of states at the Fermi level comes out at 5.9 states/eV/f.u.

Arrangement two

GaTc2Rh2 | GGA-PBE | optimized geometry

Cell lengths 3.7818, 3.7818, 11.4952 Å; angles 90.00, 90.00, 90.00 degrees
Space group I4/mmm (No. 139)
Symmetry-distinct sites (fractional):
Ga: 0.0000 0.0000 0.0000
Tc: 0.0000 0.0000 0.4020
Rh: 0.0000 0.5000 0.2500

Its crystal system is tetragonal. The density of states at the Fermi level comes out at 4.6 states/eV/f.u.

The most stable of them is arrangement one.

Arrangement one

TiGaTcRh | GGA-PBE | optimized geometry

Cell lengths 6.1427, 6.1427, 6.1427 Å; angles 90.00, 90.00, 90.00 degrees
Space group F-43m (No. 216)
Symmetry-distinct sites (fractional):
Ti: 0.0000 0.0000 0.0000
Ga: 0.0000 0.0000 0.5000
Tc: 0.2500 0.2500 0.7500
Rh: 0.2500 0.2500 0.2500

Its crystal system is cubic. The density of states at the Fermi level comes out at 4.7 states/eV/f.u.

Arrangement two

TiGaTcRh | GGA-PBE | optimized geometry

Cell lengths 3.1489, 4.2325, 4.3348 Å; angles 90.00, 90.00, 90.00 degrees
Space group Pmmm (No. 47)
Symmetry-distinct sites (fractional):
Ti: 0.0000 0.0000 0.0000
Ga: 0.0000 0.5000 0.5000
Tc: 0.5000 0.5000 0.0000
Rh: 0.5000 0.0000 0.5000

Its crystal system is orthorhombic. The density of states at the Fermi level comes out at 3.4 states/eV/f.u.

The most stable of them is arrangement two.

Arrangement one

GaTe3Rh | GGA-PBE | optimized geometry

Cell lengths 5.2949, 5.2949, 5.2949 Å; angles 90.00, 90.00, 90.00 degrees
Space group Pm-3m (No. 221)
Symmetry-distinct sites (fractional):
Ga: 0.0000 0.0000 0.0000
Te: 0.0000 0.5000 0.5000
Rh: 0.5000 0.5000 0.5000

Its crystal system is cubic. The density of states at the Fermi level comes out at 8.8 states/eV/f.u.

Arrangement two

GaTe3Rh | GGA-PBE | optimized geometry

Cell lengths 5.2657, 5.2657, 5.2657 Å; angles 90.00, 90.00, 90.00 degrees
Space group Pm-3m (No. 221)
Symmetry-distinct sites (fractional):
Ga: 0.0000 0.0000 0.0000
Te: 0.0000 0.0000 0.5000
Rh: 0.5000 0.5000 0.5000

Its crystal system is cubic. The density of states at the Fermi level comes out at 4.5 states/eV/f.u.

The most stable of them is arrangement one.

Arrangement one

GaTeRh | GGA-PBE | optimized geometry

Cell lengths 6.3089, 6.3089, 6.3089 Å; angles 90.00, 90.00, 90.00 degrees
Space group P2_13 (No. 198)
Symmetry-distinct sites (fractional):
Ga: 0.1275 0.1275 0.1275
Te: 0.1338 0.3662 0.6338
Rh: 0.0049 0.9951 0.4951

Its crystal system is cubic. The density of states at the Fermi level comes out at 1.9 states/eV/f.u.

Arrangement two

GaTeRh | GGA-PBE | optimized geometry

Cell lengths 6.2500, 6.2500, 6.2500 Å; angles 90.00, 90.00, 90.00 degrees
Space group F-43m (No. 216)
Symmetry-distinct sites (fractional):
Ga: 0.0000 0.0000 0.0000
Te: 0.0000 0.0000 0.5000
Rh: 0.2500 0.2500 0.7500

Its crystal system is cubic. The density of states at the Fermi level comes out at 2.2 states/eV/f.u.

The most stable of them is arrangement two.

Arrangement one

Th2Ga2Rh5 | GGA-PBE | optimized geometry

Cell lengths 4.2476, 4.2476, 9.0221 Å; angles 90.00, 90.00, 90.00 degrees
Space group P4/mmm (No. 123)
Symmetry-distinct sites (fractional):
Th: 0.0000 0.0000 0.0000
Th: 0.0000 0.0000 0.5000
Ga: 0.5000 0.5000 0.1380
Rh: 0.0000 0.5000 0.2718
Rh: 0.5000 0.5000 0.5000

Its crystal system is tetragonal. The density of states at the Fermi level comes out at 7.6 states/eV/f.u.

Arrangement two

Th2Ga2Rh5 | GGA-PBE | optimized geometry

Cell lengths 12.9872, 4.5530, 7.6505 Å; angles 90.00, 124.73, 90.00 degrees
Space group C2/m (No. 12)
Symmetry-distinct sites (fractional):
Th: 0.1106 0.0000 0.4026
Ga: 0.1143 0.5000 0.8944
Rh: 0.0000 0.5000 0.5000
Rh: 0.1196 0.5000 0.2267
Rh: 0.1623 0.0000 0.8087

Its crystal system is monoclinic. The density of states at the Fermi level comes out at 2.8 states/eV/f.u.

The most stable of them is arrangement one.

Arrangement one

Ti6GaRh | GGA-PBE | optimized geometry

Cell lengths 4.3140, 4.3140, 13.9930 Å; angles 90.00, 90.00, 90.00 degrees
Space group I4/mmm (No. 139)
Symmetry-distinct sites (fractional):
Ti: 0.0000 0.0000 0.2492
Ti: 0.0000 0.5000 0.1205
Ga: 0.0000 0.0000 0.5000
Rh: 0.0000 0.0000 0.0000

Its crystal system is tetragonal. The density of states at the Fermi level comes out at 8.9 states/eV/f.u.

Arrangement two

Ti6GaRh | GGA-PBE | optimized geometry

Cell lengths 4.4887, 6.2875, 9.2426 Å; angles 90.00, 90.00, 90.00 degrees
Space group Amm2 (No. 38)
Symmetry-distinct sites (fractional):
Ti: 0.0000 0.0000 0.0000
Ti: 0.0000 0.2207 0.2857
Ti: 0.5000 0.0000 0.7860
Ti: 0.5000 0.2414 0.5158
Ga: 0.0000 0.0000 0.5589
Rh: 0.5000 0.0000 0.2463

Its crystal system is orthorhombic. The density of states at the Fermi level comes out at 8.4 states/eV/f.u.

The most stable of them is arrangement two.

Arrangement one

TiGa3Rh | GGA-PBE | optimized geometry

Cell lengths 6.1610, 6.1610, 6.1610 Å; angles 90.00, 90.00, 90.00 degrees
Space group Pm-3m (No. 221)
Symmetry-distinct sites (fractional):
Ti: 0.0000 0.0000 0.5000
Ga: 0.0000 0.0000 0.0000
Ga: 0.2757 0.2757 0.2757
Rh: 0.0000 0.5000 0.5000

Its crystal system is cubic. The density of states at the Fermi level comes out at 3.8 states/eV/f.u.

Arrangement two

TiGa3Rh | GGA-PBE | optimized geometry

Cell lengths 4.6595, 4.6595, 4.6595 Å; angles 90.00, 90.00, 90.00 degrees
Space group Pm-3m (No. 221)
Symmetry-distinct sites (fractional):
Ti: 0.0000 0.0000 0.0000
Ga: 0.0000 0.5000 0.5000
Rh: 0.5000 0.5000 0.5000

Its crystal system is cubic. The density of states at the Fermi level comes out at 6.1 states/eV/f.u.

Arrangement three

TiGa3Rh | GGA-PBE | optimized geometry

Cell lengths 4.1326, 6.1986, 6.5235 Å; angles 90.00, 90.00, 90.00 degrees
Space group Pmmn (No. 59, origin choice 2)
Symmetry-distinct sites (fractional):
Ti: 0.2500 0.2500 0.1841
Ga: 0.2500 0.0316 0.7945
Ga: 0.2500 0.7500 0.4831
Rh: 0.2500 0.7500 0.1000

Its crystal system is orthorhombic. The density of states at the Fermi level comes out at 5.4 states/eV/f.u.

The most stable of them is arrangement one.

Arrangement one

TiGa2Rh3 | GGA-PBE | optimized geometry

Cell lengths 2.9655, 2.9655, 9.7597 Å; angles 90.00, 90.00, 90.00 degrees
Space group P4/mmm (No. 123)
Symmetry-distinct sites (fractional):
Ti: 0.0000 0.0000 0.0000
Ga: 0.0000 0.0000 0.3364
Rh: 0.5000 0.5000 0.1740
Rh: 0.5000 0.5000 0.5000

Its crystal system is tetragonal. The density of states at the Fermi level comes out at 2.0 states/eV/f.u.

Arrangement two

TiGa2Rh3 | GGA-PBE | optimized geometry

Cell lengths 4.2138, 12.6097, 6.4667 Å; angles 90.00, 90.00, 90.00 degrees
Space group Cmmm (No. 65)
Symmetry-distinct sites (fractional):
Ti: 0.0000 0.1602 0.0000
Ga: 0.0000 0.1703 0.5000
Ga: 0.0000 0.5000 0.0000
Ga: 0.0000 0.5000 0.5000
Rh: 0.0000 0.0000 0.2601
Rh: 0.0000 0.3326 0.2474

Its crystal system is orthorhombic. The density of states at the Fermi level comes out at 2.6 states/eV/f.u.

The most stable of them is arrangement two.

Arrangement one

TlGa2Rh2 | GGA-PBE | optimized geometry

Cell lengths 4.2589, 4.2589, 10.2795 Å; angles 90.00, 90.00, 90.00 degrees
Space group I4/mmm (No. 139)
Symmetry-distinct sites (fractional):
Tl: 0.0000 0.0000 0.0000
Ga: 0.0000 0.0000 0.3744
Rh: 0.0000 0.5000 0.2500

Its crystal system is tetragonal. The density of states at the Fermi level comes out at 2.7 states/eV/f.u.

Arrangement two

TlGa2Rh2 | GGA-PBE | optimized geometry

Cell lengths 7.5341, 7.5341, 2.9231 Å; angles 90.00, 90.00, 90.00 degrees
Space group P4/mbm (No. 127)
Symmetry-distinct sites (fractional):
Tl: 0.0000 0.0000 0.0000
Ga: 0.1390 0.3610 0.0000
Rh: 0.1507 0.6507 0.5000

Its crystal system is tetragonal. The density of states at the Fermi level comes out at 1.9 states/eV/f.u.

The most stable of them is arrangement two.

Arrangement one

Tl3GaRh | GGA-PBE | optimized geometry

Cell lengths 5.2818, 5.2818, 5.2818 Å; angles 90.00, 90.00, 90.00 degrees
Space group Pm-3m (No. 221)
Symmetry-distinct sites (fractional):
Tl: 0.0000 0.0000 0.5000
Ga: 0.0000 0.0000 0.0000
Rh: 0.5000 0.5000 0.5000

Its crystal system is cubic. The density of states at the Fermi level comes out at 7.8 states/eV/f.u.

Arrangement two

Tl3GaRh | GGA-PBE | optimized geometry

Cell lengths 5.2661, 5.2661, 5.2661 Å; angles 90.00, 90.00, 90.00 degrees
Space group Pm-3m (No. 221)
Symmetry-distinct sites (fractional):
Tl: 0.0000 0.0000 0.5000
Ga: 0.5000 0.5000 0.5000
Rh: 0.0000 0.0000 0.0000

Its crystal system is cubic. The density of states at the Fermi level comes out at 3.1 states/eV/f.u.

The most stable of them is arrangement two.

Arrangement one

TlGa2Rh | GGA-PBE | optimized geometry

Cell lengths 4.2595, 4.2595, 17.7256 Å; angles 90.00, 90.00, 90.00 degrees
Space group I-42d (No. 122)
Symmetry-distinct sites (fractional):
Tl: 0.0000 0.0000 0.0000
Ga: 0.1815 0.2500 0.6250
Rh: 0.0000 0.0000 0.5000

Its crystal system is tetragonal. The density of states at the Fermi level comes out at 2.2 states/eV/f.u.

Arrangement two

TlGa2Rh | GGA-PBE | optimized geometry

Cell lengths 6.6842, 6.6842, 6.6842 Å; angles 90.00, 90.00, 90.00 degrees
Space group Fm-3m (No. 225)
Symmetry-distinct sites (fractional):
Tl: 0.0000 0.0000 0.0000
Ga: 0.2500 0.2500 0.2500
Rh: 0.0000 0.0000 0.5000

Its crystal system is cubic. The density of states at the Fermi level comes out at 2.2 states/eV/f.u.

The most stable of them is arrangement one.